Record 1
Entry from Alexandria: a relaxed TcNiP2Se crystal (PBE).

## Properties
As for the space group: P1. The crystal system is triclinic. The raw formation energy is -180 meV/atom. The calculation puts the density at 5.61 g cm⁻³.

Lattice parameters (Å, degrees): 3.8410 4.5296 5.3737 105.76 91.30 100.69
Last column: nearest neighbours and their distance in Å.
Fractional positions:
Tc1 0.0000 0.0000 0.0000  4 P 2.27-2.39
Ni1 0.3848 0.5186 0.8347  4 P 2.23-2.40
P1 0.4757 0.9919 0.7477  2 Ni 2.28-2.40, 2 Tc 2.30-2.39, 1 Se 2.40
P2 0.8861 0.5081 0.0454  2 Ni 2.23-2.25, 2 Tc 2.27-2.37
Se1 0.5085 0.1929 0.3780  1 P 2.40, 1 Ni 2.60, 1 Tc 2.63

=====

Record 2
Entry from Alexandria: a relaxed Cs2CBr crystal (PBE).

## Properties
As for the space group: Fm-3m. The crystal system is cubic. The raw formation energy is 287 meV/atom. The calculation puts the density at 3.84 g cm⁻³.

Lattice parameters (Å, degrees): 6.0256 6.0256 6.0256 60.00 60.00 60.00
Last column: nearest neighbours and their distance in Å.
Fractional positions:
Cs1 0.2500 0.2500 0.2500  4 Br 3.69, 4 C 3.69
Cs2 0.7500 0.7500 0.7500  4 C 3.69, 4 Br 3.69
C1 0.0000 0.0000 0.0000  8 Cs 3.69
Br1 0.5000 0.5000 0.5000  8 Cs 3.69